one.
LaHgIO2 | GGA-PBE | optimized geometry

The crystal system is tetragonal. The value obtained for the density of states at the Fermi level is 1.417 states/eV/cell. The spin magnetization comes out at 0.00 Bohr magnetons per cell.

It has space group P4/mmm (No. 123), with a = 4.513 Å, b = 4.513 Å, c = 5.528 Å, α = 90.00°, β = 90.00° and γ = 90.00°. The distinct sites, in fractional coordinates, are La at (0.000, 0.000, 0.000), Hg at (0.500, 0.500, 0.500), I at (0.500, 0.500, 0.000) and O at (0.000, 0.500, 0.500).

two.
LaHgIO2 | GGA-PBE | optimized geometry

The crystal system is monoclinic. The spin magnetization comes out at 0.00 Bohr magnetons per cell.

It has space group P2_1/m (No. 11), with a = 6.864 Å, b = 3.955 Å, c = 8.550 Å, α = 90.00°, β = 96.02° and γ = 90.00°. The distinct sites, in fractional coordinates, are La at (0.124, 0.250, 0.183), Hg at (0.380, 0.250, 0.837), I at (0.247, 0.750, 0.559), O at (0.090, 0.250, 0.899) and O at (0.318, 0.750, 0.159).

Here are the energies relative to the best structure, in kJ/mol of atoms: one 127.7; two 0.0.

one.
LaHgTe2I | GGA-PBE | optimized geometry

The crystal system is tetragonal. The value obtained for the density of states at the Fermi level is 5.918 states/eV/cell. The spin magnetization comes out at 1.72 Bohr magnetons per cell.

It has space group P4/mmm (No. 123), with a = 6.286 Å, b = 6.286 Å, c = 6.304 Å, α = 90.00°, β = 90.00° and γ = 90.00°. The distinct sites, in fractional coordinates, are La at (0.000, 0.000, 0.000), Hg at (0.500, 0.500, 0.500), Te at (0.000, 0.500, 0.000) and I at (0.000, 0.000, 0.500).

two.
LaHgTe2I | GGA-PBE | optimized geometry

The crystal system is tetragonal. The value obtained for the density of states at the Fermi level is 4.927 states/eV/cell. The spin magnetization comes out at 0.24 Bohr magnetons per cell.

It has space group P4/mmm (No. 123), with a = 5.639 Å, b = 5.639 Å, c = 5.781 Å, α = 90.00°, β = 90.00° and γ = 90.00°. The distinct sites, in fractional coordinates, are La at (0.000, 0.000, 0.000), Hg at (0.500, 0.500, 0.500), Te at (0.000, 0.500, 0.500) and I at (0.500, 0.500, 0.000).

Here are the energies relative to the best structure, in kJ/mol of atoms: one 0.0; two 17.7.

one.
LiHgI2 | GGA-PBE | optimized geometry

The crystal system is trigonal. The value obtained for the density of states at the Fermi level is 8.772 states/eV/cell. The spin magnetization comes out at 0.00 Bohr magnetons per cell.

It has space group R3m (No. 160, hexagonal axes), with a = 4.3147 Å, b = 4.3147 Å, c = 23.3590 Å, α = 90.00°, β = 90.00° and γ = 120.00°. The distinct sites, in fractional coordinates, are Li at (0.0000, 0.0000, 0.0000), Hg at (0.0000, 0.0000, 0.1673), I at (0.0000, 0.0000, 0.4041) and I at (0.0000, 0.0000, 0.5961).

two.
LiHgI2 | GGA-PBE | optimized geometry

The crystal system is tetragonal. The value obtained for the density of states at the Fermi level is 1.497 states/eV/cell. The spin magnetization comes out at 0.00 Bohr magnetons per cell.

It has space group P4/mmm (No. 123), with a = 5.583 Å, b = 5.583 Å, c = 3.964 Å, α = 90.00°, β = 90.00° and γ = 90.00°. The distinct sites, in fractional coordinates, are Li at (0.000, 0.000, 0.000), Hg at (0.500, 0.500, 0.000) and I at (0.000, 0.500, 0.500).

three.
LiHgI2 | GGA-PBE | optimized geometry

The crystal system is trigonal. The value obtained for the density of states at the Fermi level is 7.705 states/eV/cell. The spin magnetization comes out at 0.00 Bohr magnetons per cell.

It has space group R-3m (No. 166, hexagonal axes), with a = 4.3982 Å, b = 4.3982 Å, c = 27.3412 Å, α = 90.00°, β = 90.00° and γ = 120.00°. The distinct sites, in fractional coordinates, are Li at (0.0000, 0.0000, 0.0000), Hg at (0.0000, 0.0000, 0.5000) and I at (0.0000, 0.0000, 0.3899).

four.
LiHgI2 | GGA-PBE | optimized geometry

The crystal system is tetragonal. The value obtained for the density of states at the Fermi level is 15.797 states/eV/cell. The spin magnetization comes out at 0.00 Bohr magnetons per cell.

It has space group I-42d (No. 122), with a = 6.820 Å, b = 6.820 Å, c = 13.976 Å, α = 90.00°, β = 90.00° and γ = 90.00°. The distinct sites, in fractional coordinates, are Li at (0.000, 0.000, 0.000), Hg at (0.000, 0.000, 0.500) and I at (0.204, 0.250, 0.125).

Here are the energies relative to the best structure, in kJ/mol of atoms: one 2.5; two 15.8; three 4.4; four 0.0.

one.
LiHgIN2 | GGA-PBE | optimized geometry

The crystal system is tetragonal. The value obtained for the density of states at the Fermi level is 1.852 states/eV/cell. The spin magnetization comes out at 4.79 Bohr magnetons per cell.

It has space group P4/mmm (No. 123), with a = 4.334 Å, b = 4.334 Å, c = 6.070 Å, α = 90.00°, β = 90.00° and γ = 90.00°. The distinct sites, in fractional coordinates, are Li at (0.000, 0.000, 0.000), Hg at (0.500, 0.500, 0.500), I at (0.000, 0.000, 0.500) and N at (0.000, 0.500, 0.000).

two.
LiHgIN2 | GGA-PBE | optimized geometry

The crystal system is tetragonal. The value obtained for the density of states at the Fermi level is 1.255 states/eV/cell. The spin magnetization comes out at 3.35 Bohr magnetons per cell.

It has space group P4/mmm (No. 123), with a = 4.272 Å, b = 4.272 Å, c = 7.827 Å, α = 90.00°, β = 90.00° and γ = 90.00°. The distinct sites, in fractional coordinates, are Li at (0.000, 0.000, 0.000), Hg at (0.500, 0.500, 0.500), I at (0.500, 0.500, 0.000) and N at (0.000, 0.500, 0.500).

Here are the energies relative to the best structure, in kJ/mol of atoms: one 21.5; two 0.0.

one.
LiHgI2O | GGA-PBE | optimized geometry

The crystal system is tetragonal. The value obtained for the density of states at the Fermi level is 4.065 states/eV/cell. The spin magnetization comes out at 1.65 Bohr magnetons per cell.

It has space group P4/mmm (No. 123), with a = 5.722 Å, b = 5.722 Å, c = 3.819 Å, α = 90.00°, β = 90.00° and γ = 90.00°. The distinct sites, in fractional coordinates, are Li at (0.000, 0.000, 0.000), Hg at (0.500, 0.500, 0.500), I at (0.000, 0.500, 0.000) and O at (0.000, 0.000, 0.500).

two.
LiHgI2O | GGA-PBE | optimized geometry

The crystal system is tetragonal. The value obtained for the density of states at the Fermi level is 8.279 states/eV/cell. The spin magnetization comes out at 0.00 Bohr magnetons per cell.

It has space group P4/mmm (No. 123), with a = 6.024 Å, b = 6.024 Å, c = 4.148 Å, α = 90.00°, β = 90.00° and γ = 90.00°. The distinct sites, in fractional coordinates, are Li at (0.000, 0.000, 0.000), Hg at (0.500, 0.500, 0.500), I at (0.000, 0.500, 0.500) and O at (0.500, 0.500, 0.000).

Here are the energies relative to the best structure, in kJ/mol of atoms: one 4.2; two 0.0.

one.
MgHgI | GGA-PBE | optimized geometry

The crystal system is monoclinic. The value obtained for the density of states at the Fermi level is 3.051 states/eV/cell. The spin magnetization comes out at 0.00 Bohr magnetons per cell.

It has space group C2/m (No. 12), with a = 14.033 Å, b = 3.917 Å, c = 7.012 Å, α = 90.00°, β = 106.35° and γ = 90.00°. The distinct sites, in fractional coordinates, are Mg at (0.117, 0.000, 0.318), Hg at (0.000, 0.500, 0.000), Hg at (0.000, 0.500, 0.500) and I at (0.237, 0.000, 0.745).

two.
MgHgI | GGA-PBE | optimized geometry

The crystal system is triclinic. The value obtained for the density of states at the Fermi level is 0.630 states/eV/cell. The spin magnetization comes out at 0.00 Bohr magnetons per cell.

It has space group P1 (No. 1), with a = 4.146 Å, b = 4.158 Å, c = 7.058 Å, α = 73.37°, β = 73.27° and γ = 60.25°. The distinct sites, in fractional coordinates, are Mg at (0.000, 0.000, 0.000), Hg at (0.414, 0.412, 0.760) and I at (0.578, 0.581, 0.265).

Here are the energies relative to the best structure, in kJ/mol of atoms: one 0.0; two 1.7.

one.
MgHgI | GGA-PBE | optimized geometry

The crystal system is monoclinic. The value obtained for the density of states at the Fermi level is 0.983 states/eV/cell. The spin magnetization comes out at 0.00 Bohr magnetons per cell.

It has space group P2_1/m (No. 11), with a = 6.535 Å, b = 3.941 Å, c = 7.058 Å, α = 90.00°, β = 100.60° and γ = 90.00°. The distinct sites, in fractional coordinates, are Mg at (0.204, 0.250, 0.492), Hg at (0.020, 0.750, 0.170) and I at (0.464, 0.750, 0.743).

two.
MgHgI | GGA-PBE | optimized geometry

The crystal system is trigonal. The value obtained for the density of states at the Fermi level is 0.513 states/eV/cell. The spin magnetization comes out at 0.00 Bohr magnetons per cell.

It has space group P3m1 (No. 156), with a = 4.1902 Å, b = 4.1902 Å, c = 6.3449 Å, α = 90.00°, β = 90.00° and γ = 120.00°. The distinct sites, in fractional coordinates, are Mg at (0.0000, 0.0000, 0.0000), Hg at (0.3333, 0.6667, 0.2492) and I at (0.6667, 0.3333, 0.7248).

Here are the energies relative to the best structure, in kJ/mol of atoms: one 0.0; two 4.9.

one.
MgHgI | GGA-PBE | optimized geometry

The crystal system is triclinic. The value obtained for the density of states at the Fermi level is 2.022 states/eV/cell. The spin magnetization comes out at 0.00 Bohr magnetons per cell.

It has space group P1 (No. 1), with a = 3.901 Å, b = 6.973 Å, c = 7.462 Å, α = 90.89°, β = 105.02° and γ = 106.11°. The distinct sites, in fractional coordinates, are Mg at (0.000, 0.000, 0.000), Mg at (0.066, 0.486, 0.631), Hg at (0.362, 0.679, 0.040), Hg at (0.606, 0.303, 0.909), I at (0.335, 0.269, 0.383) and I at (0.714, 0.810, 0.602).

two.
MgHgI | GGA-PBE | optimized geometry

The crystal system is orthorhombic. The value obtained for the density of states at the Fermi level is 3.736 states/eV/cell. The spin magnetization comes out at 0.00 Bohr magnetons per cell.

It has space group Cmc2_1 (No. 36), with a = 3.966 Å, b = 13.182 Å, c = 6.817 Å, α = 90.00°, β = 90.00° and γ = 90.00°. The distinct sites, in fractional coordinates, are Mg at (0.000, 0.122, 0.000), Hg at (0.000, 0.493, 0.768) and I at (0.000, 0.219, 0.588).

Here are the energies relative to the best structure, in kJ/mol of atoms: one 2.0; two 0.0.

one.
Mg2HgI | GGA-PBE | optimized geometry

The crystal system is cubic. The value obtained for the density of states at the Fermi level is 19.200 states/eV/cell. The spin magnetization comes out at 0.00 Bohr magnetons per cell.

It has space group Fm-3m (No. 225), with a = 7.691 Å, b = 7.691 Å, c = 7.691 Å, α = 90.00°, β = 90.00° and γ = 90.00°. The distinct sites, in fractional coordinates, are Mg at (0.250, 0.250, 0.250), Hg at (0.000, 0.000, 0.000) and I at (0.000, 0.000, 0.500).

two.
Mg2HgI | GGA-PBE | optimized geometry

The crystal system is tetragonal. The value obtained for the density of states at the Fermi level is 5.713 states/eV/cell. The spin magnetization comes out at 0.00 Bohr magnetons per cell.

It has space group I-42d (No. 122), with a = 8.045 Å, b = 8.045 Å, c = 7.073 Å, α = 90.00°, β = 90.00° and γ = 90.00°. The distinct sites, in fractional coordinates, are Mg at (0.227, 0.250, 0.125), Hg at (0.000, 0.000, 0.000) and I at (0.000, 0.000, 0.500).

Here are the energies relative to the best structure, in kJ/mol of atoms: one 19.1; two 0.0.

one.
MgHgI3 | GGA-PBE | optimized geometry

The crystal system is cubic. The value obtained for the density of states at the Fermi level is 10.600 states/eV/cell. The spin magnetization comes out at 0.00 Bohr magnetons per cell.

It has space group Pm-3m (No. 221), with a = 5.775 Å, b = 5.775 Å, c = 5.775 Å, α = 90.00°, β = 90.00° and γ = 90.00°. The distinct sites, in fractional coordinates, are Mg at (0.000, 0.000, 0.000), Hg at (0.500, 0.500, 0.500) and I at (0.000, 0.000, 0.500).

two.
MgHgI3 | GGA-PBE | optimized geometry

The crystal system is monoclinic. The value obtained for the density of states at the Fermi level is 0.000 states/eV/cell. The spin magnetization comes out at 0.00 Bohr magnetons per cell.

It has space group C2/m (No. 12), with a = 21.266 Å, b = 4.163 Å, c = 11.086 Å, α = 90.00°, β = 101.09° and γ = 90.00°. The distinct sites, in fractional coordinates, are Mg at (0.169, 0.000, 0.463), Hg at (0.062, 0.500, 0.991), I at (0.088, 0.500, 0.350), I at (0.153, 0.000, 0.967) and I at (0.222, 0.500, 0.650).

Here are the energies relative to the best structure, in kJ/mol of atoms: one 27.7; two 0.0.

one.
MgHgIN2 | GGA-PBE | optimized geometry

The crystal system is tetragonal. The value obtained for the density of states at the Fermi level is 1.395 states/eV/cell. The spin magnetization comes out at 4.01 Bohr magnetons per cell.

It has space group P4/mmm (No. 123), with a = 4.353 Å, b = 4.353 Å, c = 6.287 Å, α = 90.00°, β = 90.00° and γ = 90.00°. The distinct sites, in fractional coordinates, are Mg at (0.000, 0.000, 0.000), Hg at (0.500, 0.500, 0.500), I at (0.000, 0.000, 0.500) and N at (0.000, 0.500, 0.000).

two.
MgHgIN2 | GGA-PBE | optimized geometry

The crystal system is tetragonal. The value obtained for the density of states at the Fermi level is 3.119 states/eV/cell. The spin magnetization comes out at 3.01 Bohr magnetons per cell.

It has space group P4/mmm (No. 123), with a = 4.304 Å, b = 4.304 Å, c = 7.011 Å, α = 90.00°, β = 90.00° and γ = 90.00°. The distinct sites, in fractional coordinates, are Mg at (0.000, 0.000, 0.000), Hg at (0.500, 0.500, 0.500), I at (0.500, 0.500, 0.000) and N at (0.000, 0.500, 0.500).

Here are the energies relative to the best structure, in kJ/mol of atoms: one 0.0; two 38.7.

one.
Rb2MgHgI6 | GGA-PBE | optimized geometry

The crystal system is triclinic. The value obtained for the density of states at the Fermi level is 0.000 states/eV/cell. The spin magnetization comes out at 0.00 Bohr magnetons per cell.

It has space group P1 (No. 1), with a = 8.215 Å, b = 8.264 Å, c = 9.817 Å, α = 97.99°, β = 108.97° and γ = 114.76°. The distinct sites, in fractional coordinates, are Rb at (0.000, 0.000, 0.000), Rb at (0.019, 0.489, 0.441), Mg at (0.519, 0.836, 0.273), Hg at (0.488, 0.250, 0.654), I at (0.163, 0.513, 0.130), I at (0.199, 0.258, 0.729), I at (0.519, 0.120, 0.165), I at (0.541, 0.939, 0.585), I at (0.770, 0.587, 0.658) and I at (0.848, 0.819, 0.287).

two.
Rb2MgHgI6 | GGA-PBE | optimized geometry

The crystal system is cubic. The value obtained for the density of states at the Fermi level is 3.492 states/eV/cell. The spin magnetization comes out at 0.00 Bohr magnetons per cell.

It has space group Fm-3m (No. 225), with a = 11.957 Å, b = 11.957 Å, c = 11.957 Å, α = 90.00°, β = 90.00° and γ = 90.00°. The distinct sites, in fractional coordinates, are Rb at (0.250, 0.250, 0.250), Mg at (0.000, 0.000, 0.000), Hg at (0.000, 0.000, 0.500) and I at (0.000, 0.000, 0.246).

Here are the energies relative to the best structure, in kJ/mol of atoms: one 0.0; two 5.6.